Record 1
Material: TiAg2Pt2
Method: DFT, GGA-PBE
State: optimized geometry

Cell: 3.600 3.600 14.044 Å, 90.00 90.00 90.00°
Space group I4/mmm (No. 139)
Inequivalent atoms, fractional coordinates:
1 Ti 0.000 0.000 0.000 x2
2 Ag 0.000 0.500 0.250 x4
3 Pt 0.000 0.000 0.408 x4

Calculated values
Energy relative to the elements in kcal/mol of atoms: -0.9

---

Record 2
Material: Ti2AgPt
Method: DFT, GGA-PBE
State: optimized geometry

Cell: 4.057 4.057 3.952 Å, 90.00 90.00 90.00°
Space group P4/mmm (No. 123)
Inequivalent atoms, fractional coordinates:
1 Ti 0.000 0.500 0.000 x2
2 Ag 0.000 0.000 0.500 x1
3 Pt 0.500 0.500 0.500 x1

Calculated values
Energy relative to the elements in kcal/mol of atoms: -8.7

---

Record 3
Material: TiAg2Pt2
Method: DFT, GGA-PBE
State: optimized geometry

Cell: 6.546 6.546 4.210 Å, 90.00 90.00 90.00°
Space group P4/mbm (No. 127)
Inequivalent atoms, fractional coordinates:
1 Ti 0.000 0.000 0.000 x2
2 Ag 0.165 0.335 0.500 x4
3 Pt 0.140 0.640 0.000 x4

Calculated values
Energy relative to the elements in kcal/mol of atoms: -3.4

---

Record 4
Material: Ti2AgPt
Method: DFT, GGA-PBE
State: optimized geometry

Cell: 3.208 3.208 6.515 Å, 90.00 90.00 90.00°
Space group P4/mmm (No. 123)
Inequivalent atoms, fractional coordinates:
1 Ti 0.000 0.000 0.233 x2
2 Ag 0.500 0.500 0.500 x1
3 Pt 0.500 0.500 0.000 x1

Calculated values
Energy relative to the elements in kcal/mol of atoms: -7.9

---

Record 5
Material: TiAg3Pt
Method: DFT, GGA-PBE
State: optimized geometry

Cell: 4.865 4.865 4.865 Å, 90.00 90.00 90.00°
Space group Pm-3m (No. 221)
Inequivalent atoms, fractional coordinates:
1 Ti 0.000 0.000 0.000 x1
2 Ag 0.000 0.000 0.500 x3
3 Pt 0.500 0.500 0.500 x1

Calculated values
Energy relative to the elements in kcal/mol of atoms: 31.9

---

Record 6
Material: TiAg2Pt
Method: DFT, GGA-PBE
State: optimized geometry

Cell: 7.501 7.501 5.301 Å, 90.00 90.00 90.00°
Space group I-42d (No. 122)
Inequivalent atoms, fractional coordinates:
1 Ti 0.000 0.000 0.000 x4
2 Ag 0.247 0.250 0.625 x8
3 Pt 0.000 0.000 0.500 x4

Calculated values
Energy relative to the elements in kcal/mol of atoms: 6.7

---

Record 7
Material: TiAgPt3
Method: DFT, GGA-PBE
State: optimized geometry

Cell: 4.692 4.692 4.692 Å, 90.00 90.00 90.00°
Space group Pm-3m (No. 221)
Inequivalent atoms, fractional coordinates:
1 Ti 0.000 0.000 0.000 x1
2 Ag 0.500 0.500 0.500 x1
3 Pt 0.000 0.000 0.500 x3

Calculated values
Energy relative to the elements in kcal/mol of atoms: 12.0

---

Record 8
Material: Ti2AgPt
Method: DFT, GGA-PBE
State: optimized geometry

Cell: 7.277 7.277 5.448 Å, 90.00 90.00 90.00°
Space group I-42d (No. 122)
Inequivalent atoms, fractional coordinates:
1 Ti 0.220 0.250 0.125 x8
2 Ag 0.000 0.000 0.500 x4
3 Pt 0.000 0.000 0.000 x4

Calculated values
Energy relative to the elements in kcal/mol of atoms: -1.2

---

Let's list Fermi-level density of states in order: 3.645; 4.624; 3.518; 5.030; 4.369; 4.658; 2.727; 7.336 states/eV/f.u..